28
Lattice="0.000 5.665 5.665 5.665 0.000 5.665 5.665 5.665 0.000" Properties=species:S:1:pos:R:3 comment="Nb3Ni3N (GGA-PBE, optimized geometry)" magmom_total_mub_per_fu=0.001 dos_at_fermi_per_ev_cell=42.1 raw_formation_energy_ev_per_atom=-0.487 mass_density_g_cm3=8.56 pbc="T T T"
Nb 4.249 4.249 0.831
Nb 4.249 0.831 4.249
Nb 7.666 4.249 4.249
Nb 7.081 7.081 3.664
Nb 7.081 3.664 7.081
Nb 10.498 7.081 7.081
Nb 0.831 4.249 4.249
Nb 4.249 7.666 4.249
Nb 4.249 4.249 7.666
Nb 3.664 7.081 7.081
Nb 7.081 10.498 7.081
Nb 7.081 7.081 10.498
Ni 5.665 2.832 2.832
Ni 3.321 3.321 3.321
Ni 5.177 5.177 3.321
Ni 5.177 3.321 5.177
Ni 8.009 6.153 6.153
Ni 2.832 5.665 2.832
Ni 2.832 2.832 5.665
Ni 5.665 5.665 5.665
Ni 3.321 5.177 5.177
Ni 6.153 8.009 6.153
Ni 6.153 6.153 8.009
Ni 8.009 8.009 8.009
N 0.000 0.000 0.000
N 2.832 2.832 0.000
N 2.832 0.000 2.832
N 0.000 2.832 2.832

=====

8
Lattice="6.280 -1.487 0.000 6.280 1.487 0.000 -0.736 0.000 4.844" Properties=species:S:1:pos:R:3 comment="NbNi2N (GGA-PBE, optimized geometry)" magmom_total_mub_per_fu=0.000 dos_at_fermi_per_ev_cell=5.7 raw_formation_energy_ev_per_atom=-0.345 mass_density_g_cm3=8.23 pbc="T T T"
Nb 0.000 0.000 0.000
Nb 1.983 0.000 3.325
Ni 4.067 0.000 0.846
Ni 6.185 0.000 2.210
Ni 8.402 0.000 1.099
Ni 10.429 0.000 2.682
N 4.034 0.000 3.964
N 6.909 0.000 4.107

=====

12
Lattice="6.747 0.000 0.000 0.000 4.859 0.000 -2.548 0.000 5.846" Properties=species:S:1:pos:R:3 comment="Nb4NiN (GGA-PBE, optimized geometry)" magmom_total_mub_per_fu=0.000 dos_at_fermi_per_ev_cell=12.4 raw_formation_energy_ev_per_atom=-0.165 mass_density_g_cm3=7.70 pbc="T T T"
Nb 0.208 1.166 1.811
Nb -1.066 1.264 4.734
Nb 1.507 3.459 0.681
Nb 0.233 3.830 3.604
Nb 3.965 1.029 2.243
Nb 2.691 1.401 5.166
Nb 5.265 3.595 1.112
Nb 3.991 3.694 4.035
Ni 3.373 0.000 0.000
Ni 2.099 2.430 2.923
N 0.000 0.000 0.000
N -1.274 2.430 2.923

=====

8
Lattice="-2.784 2.784 3.376 2.784 -2.784 3.376 2.784 2.784 -3.376" Properties=species:S:1:pos:R:3 comment="NbNi2N (GGA-PBE, optimized geometry)" magmom_total_mub_per_fu=0.000 dos_at_fermi_per_ev_cell=7.2 raw_formation_energy_ev_per_atom=0.398 mass_density_g_cm3=7.12 pbc="T T T"
Nb 0.000 0.000 0.000
Nb 0.000 2.784 1.688
Ni 1.392 2.070 -0.844
Ni 3.498 1.392 0.844
Ni 1.392 0.714 2.532
Ni -0.714 1.392 4.220
N 2.784 0.000 1.688
N 0.000 0.000 3.376

=====

8
Lattice="2.145 -4.800 0.000 2.145 4.800 0.000 0.000 0.000 4.393" Properties=species:S:1:pos:R:3 comment="NbNi2N (GGA-PBE, optimized geometry)" magmom_total_mub_per_fu=0.000 dos_at_fermi_per_ev_cell=4.1 raw_formation_energy_ev_per_atom=-0.402 mass_density_g_cm3=8.23 pbc="T T T"
Nb 2.145 2.536 2.197
Nb 2.145 -2.536 0.000
Ni 2.145 4.272 4.237
Ni 2.145 0.471 0.505
Ni 2.145 -0.471 2.702
Ni 2.145 -4.272 2.041
N 2.145 2.335 4.385
N 2.145 -2.335 2.189

=====

8
Lattice="-1.763 4.876 2.708 1.763 -4.876 2.708 1.763 4.876 -2.708" Properties=species:S:1:pos:R:3 comment="NbNi2N (GGA-PBE, optimized geometry)" magmom_total_mub_per_fu=0.000 dos_at_fermi_per_ev_cell=5.5 raw_formation_energy_ev_per_atom=-0.271 mass_density_g_cm3=8.00 pbc="T T T"
Nb 0.000 1.608 0.000
Nb 0.000 8.143 0.000
Ni 1.763 0.000 1.324
Ni 1.763 3.689 -0.097
Ni 0.000 1.187 2.611
Ni 0.000 4.876 1.376
N 1.763 1.969 -1.062
N 0.000 2.907 1.645